No. 1
First-principles (PBE) data for an optimized crystal structure of CaTlRu2, as listed in Alexandria via LeMat-Bulk.

## Properties
For the theoretical density, the calculation gives 8.73 g/cm³. The value obtained for the relative energy among the computed polymorphs is 665.5 meV/atom. The calculation puts the energy at -78.0 eV for the cell shown. The value obtained for the energy relative to the elements is 0.86 eV per atom. The density of states at the Fermi level is 3.87 states/eV/f.u.

Lattice parameters (Å, degrees): 7.6813 7.6813 5.7566 90.00 90.00 90.00
With the nearest neighbours (Å) after each atom.
Space group I-42d (No. 122)
Asymmetric unit:
Ca: 0.0000 0.0000 0.0000 (multiplicity 4)  2 Tl 2.88, 4 Ru 2.94
Tl: 0.0000 0.0000 0.5000 (multiplicity 4)  4 Ru 2.69, 2 Ca 2.88
Ru: 0.2264 0.2500 0.6250 (multiplicity 8)  2 Tl 2.69, 2 Ru 2.90, 2 Ca 2.94

=====

No. 2
First-principles (PBE) data for an optimized crystal structure of HfCu4, as listed in Alexandria via LeMat-Bulk.

## Properties
For the theoretical density, the calculation gives 6.31 g/cm³. The calculation puts the energy at -18.8 eV for the cell shown. The value obtained for the energy relative to the elements is 1.50 eV per atom. The density of states at the Fermi level is 3.48 states/eV/f.u.

Lattice parameters (Å, degrees): 4.8460 4.8460 4.8460 90.00 90.00 90.00
With the nearest neighbours (Å) after each atom.
Space group Pm-3m (No. 221)
Asymmetric unit:
Hf: 0.0000 0.0000 0.0000 (multiplicity 1)  6 Cu 2.42
Cu: 0.0000 0.0000 0.5000 (multiplicity 3)  2 Hf 2.42
Cu: 0.5000 0.5000 0.5000 (multiplicity 1)  12 Cu 3.43

=====

No. 3
First-principles (PBE) data for an optimized crystal structure of Zr2O2F7, as listed in Alexandria via LeMat-Bulk.

## Properties
For the theoretical density, the calculation gives 3.21 g/cm³. The calculation puts the energy at -142.1 eV for the cell shown. The density of states at the Fermi level is 8.23 states/eV/f.u.

Lattice parameters (Å, degrees): 7.0049 7.8068 6.5742 90.00 90.00 90.00
With the nearest neighbours (Å) after each atom.
Space group Cmmm (No. 65)
Asymmetric unit:
Zr: 0.0000 0.2223 0.0000 (multiplicity 4)  7 F 2.12-2.17
O: 0.0901 0.5000 0.5000 (multiplicity 4)  1 O 1.26
F: 0.0000 0.0000 0.1856 (multiplicity 4)  2 Zr 2.12
F: 0.0000 0.5000 0.0000 (multiplicity 2)  2 Zr 2.17
F: 0.2500 0.2500 0.1846 (multiplicity 8)  2 Zr 2.14

=====

Copy entry 1 word for word.
First-principles (PBE) data for an optimized crystal structure of CaTlRu2, as listed in Alexandria via LeMat-Bulk.

## Properties
For the theoretical density, the calculation gives 8.73 g/cm³. The value obtained for the relative energy among the computed polymorphs is 665.5 meV/atom. The calculation puts the energy at -78.0 eV for the cell shown. The value obtained for the energy relative to the elements is 0.86 eV per atom. The density of states at the Fermi level is 3.87 states/eV/f.u.

Lattice parameters (Å, degrees): 7.6813 7.6813 5.7566 90.00 90.00 90.00
With the nearest neighbours (Å) after each atom.
Space group I-42d (No. 122)
Asymmetric unit:
Ca: 0.0000 0.0000 0.0000 (multiplicity 4)  2 Tl 2.88, 4 Ru 2.94
Tl: 0.0000 0.0000 0.5000 (multiplicity 4)  4 Ru 2.69, 2 Ca 2.88
Ru: 0.2264 0.2500 0.6250 (multiplicity 8)  2 Tl 2.69, 2 Ru 2.90, 2 Ca 2.94

=====

energy of number 3 (Zr2O2F7)? -142.1 eV for the cell shown

=====

Which of these has the highest theoretical density? CaTlRu2

=====

Among the records above, which one has the highest theoretical density? CaTlRu2